DFT (GGA-PBE) results for a relaxed structure of ZrAg.

Unit cell a=10.8467 b=10.8467 c=3.0000 alpha=90.00 beta=90.00 gamma=90.00
Last column: nearest neighbours and their distance in Å.
Positions (direct):
Zr 0.8603 0.6059 0.5000  4 Ag 3.00-3.03, 6 Zr 3.00-3.08
Zr 0.6059 0.1397 0.5000  4 Ag 3.00-3.03, 6 Zr 3.00-3.08
Zr 0.8941 0.3603 0.0000  4 Ag 3.00-3.03, 6 Zr 3.00-3.08
Zr 0.6397 0.8941 0.0000  4 Ag 3.00-3.03, 6 Zr 3.00-3.08
Zr 0.3603 0.1059 0.0000  4 Ag 3.00-3.03, 6 Zr 3.00-3.08
Zr 0.1397 0.3941 0.5000  4 Ag 3.00-3.03, 6 Zr 3.00-3.08
Zr 0.3941 0.8603 0.5000  4 Ag 3.00-3.03, 6 Zr 3.00-3.08
Zr 0.1059 0.6397 0.0000  4 Ag 3.00-3.03, 6 Zr 3.00-3.08
Ag 0.4134 0.3392 0.5000  4 Ag 2.80-3.00, 4 Zr 3.00-3.03
Ag 0.6608 0.4134 0.5000  4 Ag 2.80-3.00, 4 Zr 3.00-3.03
Ag 0.9134 0.8392 0.0000  4 Ag 2.80-3.00, 4 Zr 3.00-3.03
Ag 0.1608 0.9134 0.0000  4 Ag 2.80-3.00, 4 Zr 3.00-3.03
Ag 0.8392 0.0866 0.0000  4 Ag 2.80-3.00, 4 Zr 3.00-3.03
Ag 0.0866 0.1608 0.0000  4 Ag 2.80-3.00, 4 Zr 3.00-3.03
Ag 0.3392 0.5866 0.5000  4 Ag 2.80-3.00, 4 Zr 3.00-3.03
Ag 0.5866 0.6608 0.5000  4 Ag 2.80-3.00, 4 Zr 3.00-3.03

Results
Fermi-level density of states = 1.8 states/eV/f.u.
SG = No. 87
E_form = 19 kJ/mol of atoms
VASP energy = -87.98 eV per cell